Rb3SnI6 after structural relaxation. Source: the Alexandria database, functional PBE.

Summary:
Space group ... P2_1/c (14)
Formation energy (no corrections) ... -1028 meV per atom
E ... -2.648 eV per atom

Lattice parameters (Å, degrees): 8.696 9.364 12.426 90.00 88.10 90.00
Fractional positions:
I  0.838  0.728  0.924
I  0.369  0.556  0.726
I  0.716  0.174  0.948
I  0.284  0.826  0.052
Rb  0.000  0.000  0.500
Rb  0.500  0.500  0.000
I  0.338  0.772  0.424
I  0.631  0.444  0.274
I  0.216  0.326  0.448
Rb  0.467  0.081  0.242
I  0.869  0.944  0.226
I  0.162  0.272  0.076
Rb  0.033  0.581  0.258
Rb  0.967  0.419  0.742
Sn  0.000  0.000  0.000
Sn  0.500  0.500  0.500
I  0.662  0.228  0.576
I  0.131  0.056  0.774
Rb  0.533  0.919  0.758
I  0.784  0.674  0.552